(1)
## LiMg2 (PBE)

Data for a relaxed structure of LiMg2.

Cell lengths 3.1601, 3.1601, 15.0607 Å; angles 90.00, 90.00, 120.00 degrees
Closest atoms and distances in Å follow each position.
Fractional coordinates of all 6 atoms:
Li1 0.6667 0.3333 0.3363  6 Mg 3.04-3.07, 6 Li 3.16
Li2 0.6667 0.3333 0.6637  6 Mg 3.04-3.07, 6 Li 3.16
Mg1 0.0000 0.0000 0.1753  3 Li 3.04, 9 Mg 3.16-3.21
Mg2 0.0000 0.0000 0.5000  6 Li 3.07, 6 Mg 3.16
Mg3 0.0000 0.0000 0.8247  3 Li 3.04, 9 Mg 3.16-3.21
Mg4 0.6667 0.3333 0.0000  12 Mg 3.16-3.21

Calculated values
calculated total energy	-1.728	eV per atom
space-group type	P-6m2, No. 187

***

(2)
## Li4Mg (PBE)

Data for a relaxed structure of Li4Mg.

Cell lengths 12.6346, 12.6346, 12.6346 Å; angles 14.04, 14.04, 14.04 degrees
Closest atoms and distances in Å follow each position.
Fractional coordinates of all 5 atoms:
Li1 0.1994 0.1994 0.1994  12 Li 3.04-3.09
Li2 0.4014 0.4014 0.4014  9 Li 3.05-3.09, 3 Mg 3.12
Li3 0.5986 0.5986 0.5986  9 Li 3.05-3.09, 3 Mg 3.12
Li4 0.8006 0.8006 0.8006  12 Li 3.04-3.09
Mg1 0.0000 0.0000 0.0000  6 Mg 3.09, 6 Li 3.12

Calculated values
energy above the lowest structure with this stoichiometry	0.06	eV/f.u.
space-group type	R-3m, No. 166

***

(3)
## LiMg4 (PBE)

Data for a relaxed structure of LiMg4.

Cell lengths 5.5114, 5.5114, 5.5114 Å; angles 109.47, 109.47, 109.47 degrees
Closest atoms and distances in Å follow each position.
Fractional coordinates of all 5 atoms:
Mg1 0.0000 0.5000 0.0000  2 Li 2.76
Mg2 0.5000 0.5000 0.5000  2 Li 2.76
Mg3 0.5000 0.0000 0.0000  2 Li 2.76
Mg4 0.0000 0.0000 0.5000  2 Li 2.76
Li1 0.0000 0.0000 0.0000  8 Mg 2.76

Calculated values
energy above the lowest structure with this stoichiometry	1.50	eV/f.u.
space-group type	Im-3m, No. 229

***

(4)
## LiMg2 (PBE)

Data for a relaxed structure of LiMg2.

Cell lengths 5.9093, 5.9093, 9.6759 Å; angles 90.00, 90.00, 120.00 degrees
Closest atoms and distances in Å follow each position.
Fractional coordinates of all 12 atoms:
Mg1 0.3393 0.1697 0.2500  6 Mg 2.90-3.01
Mg2 0.8303 0.6607 0.2500  6 Mg 2.90-3.01
Mg3 0.0000 0.0000 0.0000  6 Mg 2.98
Mg4 0.1697 0.3393 0.7500  6 Mg 2.90-3.01
Mg5 0.0000 0.0000 0.5000  6 Mg 2.98
Mg6 0.1697 0.8303 0.7500  6 Mg 2.90-3.01
Mg7 0.6607 0.8303 0.7500  6 Mg 2.90-3.01
Mg8 0.8303 0.1697 0.2500  6 Mg 2.90-3.01
Li1 0.3333 0.6667 0.4407  12 Mg 3.43-3.48, 4 Li 3.60-3.69
Li2 0.3333 0.6667 0.0593  12 Mg 3.43-3.48, 4 Li 3.60-3.69
Li3 0.6667 0.3333 0.5593  12 Mg 3.43-3.48, 4 Li 3.60-3.69
Li4 0.6667 0.3333 0.9407  12 Mg 3.43-3.48, 4 Li 3.60-3.69

Calculated values
calculated total energy	-1.637	eV per atom
space-group type	P6_3/mmc, No. 194